First-principles (PBE-GGA) data for SmEr2Pd after structural relaxation, as listed in Alexandria.

Structure (POSCAR):
```
SmEr2Pd
1.0
-0.208 3.528 0.383
-3.348 -0.322 1.149
2.805 -0.700 7.978
Er Sm Pd
2 1 1
Direct
0.000 0.000 0.195
0.000 0.000 0.805
0.500 0.500 0.500
0.500 0.500 0.000
```

Values from the calculation:
- Total magnetic moment: 0.0 μB per formula unit
- Space-group type: P4/mmm, No. 123
- Density of states at the Fermi level: 4.73 states/eV/cell
- Excess energy over the best structure of this formula in the dataset: 0.038 eV per atom
- Theoretical density: 9.16 g cm⁻³
- ΔH_f (0 K): -0.433 eV per atom

---

First-principles (PBE-GGA) data for CdAgMo2 after structural relaxation, as listed in Alexandria.

Structure (POSCAR):
```
CdAgMo2
1.0
4.643 0.000 0.000
0.000 2.719 0.080
0.000 2.361 5.486
Cd Mo Ag
1 2 1
Direct
0.500 0.750 0.750
0.000 0.504 0.491
0.000 0.996 0.009
0.500 0.250 0.250
```

Values from the calculation:
- Total magnetic moment: 0.0 μB per formula unit
- Space-group type: P2/m, No. 10
- Density of states at the Fermi level: 1.27 states/eV/cell
- Theoretical density: 10.01 g cm⁻³
- ΔH_f (0 K): 0.462 eV per atom

---

First-principles (PBE-GGA) data for Cu3BiB after structural relaxation, as listed in Alexandria.

Structure (POSCAR):
```
Cu3BiB
1.0
-3.605 -0.959 3.283
-2.544 -2.437 -3.505
2.286 -4.223 1.277
Cu Bi B
3 1 1
Direct
0.500 0.000 0.000
0.000 0.500 0.000
0.000 0.000 0.500
0.000 0.000 0.000
0.500 0.500 0.500
```

Values from the calculation:
- Total magnetic moment: 0.0 μB per formula unit
- Space-group type: Pm-3m, No. 221
- Density of states at the Fermi level: 4.77 states/eV/cell
- Excess energy over the best structure of this formula in the dataset: 1.370 eV per atom
- Theoretical density: 5.55 g cm⁻³
- ΔH_f (0 K): 1.700 eV per atom

---

First-principles (PBE-GGA) data for Ca3AgSn after structural relaxation, as listed in Alexandria.

Structure (POSCAR):
```
Ca3AgSn
1.0
5.294 0.000 1.210
0.000 5.433 0.000
0.384 0.000 10.507
Ca Ag Sn
6 2 2
Direct
0.252 0.750 0.145
0.896 0.750 0.856
0.397 0.250 0.855
0.752 0.250 0.144
0.074 0.750 0.501
0.574 0.250 0.499
0.169 0.250 0.311
0.480 0.750 0.689
0.982 0.250 0.683
0.666 0.750 0.317
```

Values from the calculation:
- Total magnetic moment: 0.0 μB per formula unit
- Space-group type: Cmcm, No. 63
- Density of states at the Fermi level: 4.79 states/eV/cell
- Excess energy over the best structure of this formula in the dataset: 0.000 eV per atom
- Theoretical density: 3.84 g cm⁻³
- ΔH_f (0 K): -0.435 eV per atom

---

First-principles (PBE-GGA) data for RbInGe after structural relaxation, as listed in Alexandria.

Structure (POSCAR):
```
RbInGe
1.0
13.897 0.000 -0.013
4.190 4.358 -1.831
-4.190 4.358 1.831
In Ge Rb
2 2 2
Direct
0.934 0.528 0.656
0.066 0.656 0.528
0.926 0.252 0.303
0.074 0.303 0.252
0.603 0.510 0.352
0.397 0.352 0.510
```

Values from the calculation:
- Total magnetic moment: 0.0 μB per formula unit
- Space-group type: C2, No. 5
- Density of states at the Fermi level: 1.39 states/eV/cell
- Theoretical density: 4.10 g cm⁻³
- ΔH_f (0 K): -0.023 eV per atom

---

First-principles (PBE-GGA) data for Er6TeRu2 after structural relaxation, as listed in Alexandria.

Structure (POSCAR):
```
Er6TeRu2
1.0
-1.110 3.122 -2.090
-5.767 -4.428 0.119
-4.428 3.245 7.198
Te Er Ru
1 6 2
Direct
0.000 0.000 0.500
0.648 0.295 0.592
0.755 0.511 0.153
0.032 0.064 0.156
0.968 0.936 0.844
0.245 0.489 0.847
0.352 0.705 0.408
0.393 0.786 0.080
0.607 0.214 0.920
```

Values from the calculation:
- Uncorrected formation energy: -466.4 meV/atom
- Total magnetic moment: 0.0 μB per formula unit
- Space-group type: C2/m, No. 12
- Density of states at the Fermi level: 8.54 states/eV/cell
- Excess energy over the best structure of this formula in the dataset: 0.037 eV per atom
- Theoretical density: 9.08 g cm⁻³